The following is a DFT calculation (PBE) of a relaxed Ta3GeS crystal.

The calculation puts the formation energy (no corrections) at 0.444 eV per atom. As for the space group: Pm-3m, No. 221. Its crystal system is cubic. As for the energy relative to the lowest polymorph listed for this composition: 0.000 eV per atom. The calculation puts the density of states at the Fermi level at 4.415 states/eV/f.u.

a = 4.543 Å, b = 4.543 Å, c = 4.543 Å
α = 90.00°, β = 90.00°, γ = 90.00°
Element x y z (fractional)
Ta (0.000, 0.000, 0.500)
Ta (0.000, 0.500, 0.000)
Ta (0.500, 0.000, 0.000)
Ge (0.500, 0.500, 0.500)
S (0.000, 0.000, 0.000)

---

The following is a DFT calculation (PBE) of a relaxed Pu2Cu2P3 crystal.

As for the space group: C2/m, No. 12. Its crystal system is monoclinic. As for the energy relative to the lowest polymorph listed for this composition: 0.068 eV per atom. The calculation puts the density of states at the Fermi level at 17.848 states/eV/f.u. The calculation puts the energy of formation from the pure elements at -0.6765 eV/atom.

a = 6.688 Å, b = 6.688 Å, c = 5.454 Å
α = 104.57°, β = 104.57°, γ = 34.31°
Element x y z (fractional)
Pu (0.153, 0.153, 0.195)
Pu (0.847, 0.847, 0.805)
Cu (0.409, 0.409, 0.312)
Cu (0.591, 0.591, 0.688)
P (0.187, 0.187, 0.711)
P (0.500, 0.500, 0.000)
P (0.813, 0.813, 0.289)

---

The following is a DFT calculation (PBE) of a relaxed NaAcTcO5 crystal.

The calculation puts the formation energy (no corrections) at -2.015 eV per atom. As for the space group: C2/c, No. 15. Its crystal system is monoclinic. The calculation puts the density of states at the Fermi level at 2.687 states/eV/f.u.

a = 6.691 Å, b = 6.691 Å, c = 8.531 Å
α = 100.73°, β = 100.73°, γ = 117.55°
Element x y z (fractional)
Na (0.225, 0.775, 0.750)
Na (0.775, 0.225, 0.250)
Ac (0.500, 0.500, 0.000)
Ac (0.500, 0.500, 0.500)
Tc (0.205, 0.795, 0.250)
Tc (0.795, 0.205, 0.750)
O (0.033, 0.258, 0.919)
O (0.163, 0.557, 0.337)
O (0.258, 0.033, 0.419)
O (0.418, 0.582, 0.750)
O (0.443, 0.837, 0.163)
O (0.557, 0.163, 0.837)
O (0.582, 0.418, 0.250)
O (0.742, 0.967, 0.581)
O (0.837, 0.443, 0.663)
O (0.967, 0.742, 0.081)

---

The following is a DFT calculation (PBE) of a relaxed BaCeSiO6 crystal.

The calculation puts the formation energy (no corrections) at -2.398 eV per atom. As for the space group: P312, No. 149. Its crystal system is trigonal. The calculation puts the density of states at the Fermi level at 4.295 states/eV/f.u.

a = 5.420 Å, b = 5.420 Å, c = 5.720 Å
α = 90.00°, β = 90.00°, γ = 120.00°
Element x y z (fractional)
Ba (0.000, 0.000, 0.000)
Ce (0.333, 0.667, 0.500)
Si (0.667, 0.333, 0.500)
O (0.407, 0.057, 0.686)
O (0.407, 0.350, 0.314)
O (0.650, 0.057, 0.314)
O (0.650, 0.593, 0.686)
O (0.943, 0.350, 0.686)
O (0.943, 0.593, 0.314)

---

The following is a DFT calculation (PBE) of a relaxed HfTa2Os crystal.

As for the space group: P4/mmm, No. 123. Its crystal system is tetragonal. The calculation puts the density of states at the Fermi level at 3.293 states/eV/f.u. The calculation puts the energy of formation from the pure elements at -0.1910 eV/atom.

a = 3.187 Å, b = 3.187 Å, c = 7.094 Å
α = 90.00°, β = 90.00°, γ = 90.00°
Element x y z (fractional)
Hf (0.000, 0.000, 0.000)
Ta (0.500, 0.500, 0.274)
Ta (0.500, 0.500, 0.726)
Os (0.000, 0.000, 0.500)

---

The following is a DFT calculation (PBE) of a relaxed KCaNdP2O8 crystal.

The calculation puts the formation energy (no corrections) at -2.824 eV per atom. As for the space group: P6_4, No. 172. Its crystal system is hexagonal. The calculation puts the density of states at the Fermi level at 0.000 states/eV/f.u.

a = 7.079 Å, b = 7.079 Å, c = 12.968 Å
α = 90.00°, β = 90.00°, γ = 120.00°
Element x y z (fractional)
K (0.000, 0.000, 0.000)
K (0.000, 0.000, 0.333)
K (0.000, 0.000, 0.667)
Ca (0.000, 0.500, 0.264)
Ca (0.500, 0.000, 0.931)
Ca (0.500, 0.500, 0.597)
Nd (0.000, 0.500, 0.769)
Nd (0.500, 0.000, 0.436)
Nd (0.500, 0.500, 0.103)
P (0.000, 0.500, 0.014)
P (0.000, 0.500, 0.522)
P (0.500, 0.000, 0.189)
P (0.500, 0.000, 0.681)
P (0.500, 0.500, 0.347)
P (0.500, 0.500, 0.855)
O (0.133, 0.434, 0.086)
O (0.135, 0.699, 0.450)
O (0.136, 0.440, 0.596)
O (0.137, 0.696, 0.941)
O (0.301, 0.436, 0.783)
O (0.301, 0.867, 0.752)
O (0.304, 0.441, 0.274)
O (0.304, 0.864, 0.262)
O (0.434, 0.301, 0.419)
O (0.436, 0.135, 0.117)
O (0.440, 0.304, 0.929)
O (0.441, 0.137, 0.608)
O (0.559, 0.863, 0.608)
O (0.560, 0.696, 0.929)
O (0.564, 0.865, 0.117)
O (0.566, 0.699, 0.419)
O (0.696, 0.136, 0.262)
O (0.696, 0.559, 0.274)
O (0.699, 0.133, 0.752)
O (0.699, 0.564, 0.783)
O (0.863, 0.304, 0.941)
O (0.864, 0.560, 0.596)
O (0.865, 0.301, 0.450)
O (0.867, 0.566, 0.086)

---

The following is a DFT calculation (PBE) of a relaxed Hf3NbPd2 crystal.

As for the space group: P4/mmm, No. 123. Its crystal system is tetragonal. The calculation puts the density of states at the Fermi level at 4.784 states/eV/f.u. The calculation puts the energy of formation from the pure elements at -0.4372 eV/atom.

a = 3.246 Å, b = 3.246 Å, c = 10.771 Å
α = 90.00°, β = 90.00°, γ = 90.00°
Element x y z (fractional)
Hf (0.000, 0.000, 0.000)
Hf (0.000, 0.000, 0.329)
Hf (0.000, 0.000, 0.671)
Nb (0.500, 0.500, 0.500)
Pd (0.500, 0.500, 0.167)
Pd (0.500, 0.500, 0.833)

---

The following is a DFT calculation (PBE) of a relaxed Ca2Ni2Pt crystal.

As for the space group: P4/mbm, No. 127. Its crystal system is tetragonal. As for the energy relative to the lowest polymorph listed for this composition: 0.517 eV per atom. The calculation puts the density of states at the Fermi level at 3.815 states/eV/f.u. The calculation puts the energy of formation from the pure elements at 0.1498 eV/atom.

a = 7.976 Å, b = 7.976 Å, c = 3.026 Å
α = 90.00°, β = 90.00°, γ = 90.00°
Element x y z (fractional)
Ca (0.188, 0.312, 0.000)
Ca (0.312, 0.812, 0.000)
Ca (0.688, 0.188, 0.000)
Ca (0.812, 0.688, 0.000)
Ni (0.103, 0.603, 0.500)
Ni (0.397, 0.103, 0.500)
Ni (0.603, 0.897, 0.500)
Ni (0.897, 0.397, 0.500)
Pt (0.000, 0.000, 0.000)
Pt (0.500, 0.500, 0.000)

---

The following is a DFT calculation (PBE) of a relaxed EuHPb crystal.

As for the space group: P-6m2, No. 187. Its crystal system is hexagonal. As for the energy relative to the lowest polymorph listed for this composition: 0.000 eV per atom. The calculation puts the density of states at the Fermi level at 9.155 states/eV/f.u.

a = 3.771 Å, b = 3.771 Å, c = 5.637 Å
α = 90.00°, β = 90.00°, γ = 120.00°
Element x y z (fractional)
Eu (0.000, 0.000, 0.000)
H (0.667, 0.333, 0.000)
Pb (0.333, 0.667, 0.500)

---

The following is a DFT calculation (PBE) of a relaxed LiSnHPb2 crystal.

As for the space group: P4/mmm, No. 123. Its crystal system is tetragonal. The calculation puts the density of states at the Fermi level at 2.426 states/eV/f.u.

a = 5.046 Å, b = 5.046 Å, c = 4.432 Å
α = 90.00°, β = 90.00°, γ = 90.00°
Element x y z (fractional)
Li (0.000, 0.000, 0.000)
Sn (0.500, 0.500, 0.000)
H (0.000, 0.000, 0.500)
Pb (0.000, 0.500, 0.500)
Pb (0.500, 0.000, 0.500)

---

The following is a DFT calculation (PBE) of a relaxed Sm6GaRu crystal.

As for the space group: C2/m, No. 12. Its crystal system is monoclinic. The calculation puts the density of states at the Fermi level at 10.893 states/eV/f.u. The calculation puts the energy of formation from the pure elements at -0.0582 eV/atom.

a = 6.645 Å, b = 6.645 Å, c = 6.693 Å
α = 100.10°, β = 100.10°, γ = 112.56°
Element x y z (fractional)
Sm (0.029, 0.388, 0.250)
Sm (0.241, 0.241, 0.764)
Sm (0.388, 0.029, 0.250)
Sm (0.612, 0.971, 0.750)
Sm (0.759, 0.759, 0.236)
Sm (0.971, 0.612, 0.750)
Ga (0.500, 0.500, 0.500)
Ru (0.000, 0.000, 0.000)

---

The following is a DFT calculation (PBE) of a relaxed PuVFe crystal.

As for the space group: I4mm, No. 107. Its crystal system is tetragonal. As for the energy relative to the lowest polymorph listed for this composition: 0.160 eV per atom. The calculation puts the density of states at the Fermi level at 6.105 states/eV/f.u. The calculation puts the energy of formation from the pure elements at 0.3074 eV/atom.

a = 4.706 Å, b = 4.706 Å, c = 4.706 Å
α = 137.98°, β = 137.98°, γ = 60.94°
Element x y z (fractional)
Pu (0.000, 0.000, 0.000)
V (0.691, 0.691, 0.000)
Fe (0.337, 0.337, 0.000)

---

no.,electronic total energy (eV for the cell shown)
1,-42.09
2,-57.82
3,-113.41
4,-64.61
5,-45.65
6,-285.18
7,-52.94
8,-41.71
9,-18.29
10,-16.48
11,-41.08
12,-30.99